No. 1
Below is an optimized crystal structure of MgTeIrN2, with properties calculated at the PBE level.

Values from the calculation:
- E_form (uncorrected) (eV/atom) = 1.68
- DOS(E_F) (states/eV/f.u.) = 4.07
- energy above the lowest structure with this stoichiometry (eV per formula unit) = 5.559

a = 3.8953 Å, b = 3.8953 Å, c = 6.2725 Å
α = 90.00°, β = 90.00°, γ = 90.00°
Element x y z (fractional)
1 Mg 0.0000 0.0000 0.0000
2 Te 0.0000 0.0000 0.5000
3 Ir 0.5000 0.5000 0.5000
4 N 0.0000 0.5000 0.0000
5 N 0.5000 0.0000 0.0000

=====

No. 2
Below is an optimized crystal structure of MgTeIrN2, with properties calculated at the PBE level.

Values from the calculation:
- E_form (uncorrected) (eV/atom) = 0.57
- DOS(E_F) (states/eV/f.u.) = 1.99
- energy above the lowest structure with this stoichiometry (eV per formula unit) = 0.000

a = 3.8776 Å, b = 3.8776 Å, c = 5.8569 Å
α = 90.00°, β = 90.00°, γ = 90.00°
Element x y z (fractional)
1 Mg 0.0000 0.0000 0.0000
2 Te 0.5000 0.5000 0.0000
3 Ir 0.5000 0.5000 0.5000
4 N 0.0000 0.5000 0.5000
5 N 0.5000 0.0000 0.5000

=====

No. 3
Below is an optimized crystal structure of MgIr2WN, with properties calculated at the PBE level.

Values from the calculation:
- E_form (uncorrected) (eV/atom) = 0.24
- DOS(E_F) (states/eV/f.u.) = 4.89

a = 4.1682 Å, b = 4.1682 Å, c = 4.0698 Å
α = 90.00°, β = 90.00°, γ = 90.00°
Element x y z (fractional)
1 Mg 0.0000 0.0000 0.0000
2 Ir 0.0000 0.5000 0.5000
3 Ir 0.5000 0.0000 0.5000
4 W 0.5000 0.5000 0.0000
5 N 0.5000 0.5000 0.5000

=====

No. 4
Below is an optimized crystal structure of YMgIr2N, with properties calculated at the PBE level.

Values from the calculation:
- E_form (uncorrected) (eV/atom) = -0.07
- DOS(E_F) (states/eV/f.u.) = 3.96

a = 4.3758 Å, b = 4.3758 Å, c = 4.0533 Å
α = 90.00°, β = 90.00°, γ = 90.00°
Element x y z (fractional)
1 Y 0.0000 0.0000 0.0000
2 Mg 0.5000 0.5000 0.0000
3 Ir 0.0000 0.5000 0.5000
4 Ir 0.5000 0.0000 0.5000
5 N 0.5000 0.5000 0.5000

=====

No. 5
Below is an optimized crystal structure of MgZrIrN2, with properties calculated at the PBE level.

Values from the calculation:
- E_form (uncorrected) (eV/atom) = 1.12
- DOS(E_F) (states/eV/f.u.) = 4.95

a = 3.9534 Å, b = 3.9534 Å, c = 4.8072 Å
α = 90.00°, β = 90.00°, γ = 90.00°
Element x y z (fractional)
1 Mg 0.0000 0.0000 0.0000
2 Zr 0.5000 0.5000 0.5000
3 Ir 0.0000 0.0000 0.5000
4 N 0.0000 0.5000 0.0000
5 N 0.5000 0.0000 0.0000

=====

No. 6
Below is an optimized crystal structure of NaMg3Ir, with properties calculated at the PBE level.

Values from the calculation:
- DOS(E_F) (states/eV/f.u.) = 2.67
- energy above the lowest structure with this stoichiometry (eV per formula unit) = 6.394

a = 4.7708 Å, b = 4.7708 Å, c = 4.7708 Å
α = 90.00°, β = 90.00°, γ = 90.00°
Element x y z (fractional)
1 Na 0.0000 0.0000 0.0000
2 Mg 0.0000 0.0000 0.5000
3 Mg 0.0000 0.5000 0.0000
4 Mg 0.5000 0.0000 0.0000
5 Ir 0.5000 0.5000 0.5000

=====

Q: Among the records above, which one has the highest DOS(E_F)?
A: MgZrIrN2